The following is a SCAN calculation of Cu2Ni at its PBEsol-relaxed geometry, from Alexandria.

abc: 2.487 2.487 10.562
angles: 90.00 90.00 90.00
Space group I4/mmm (No. 139)
One atom of each set of equivalent atoms:
Cu: 0.000 0.000 0.165 (multiplicity 4)
Ni: 0.000 0.000 0.500 (multiplicity 2)

Output
E_tot: -92.86 eV/cell
Density: 9.44 g cm⁻³

The following is a SCAN calculation of Cu3Ni5 at its PBEsol-relaxed geometry, from Alexandria.

abc: 6.976 7.014 3.481
angles: 90.00 90.00 90.00
Space group Cmmm (No. 65)
One atom of each set of equivalent atoms:
Cu: 0.000 0.000 0.000 (multiplicity 2)
Cu: 0.249 0.000 0.500 (multiplicity 4)
Ni: 0.000 0.255 0.500 (multiplicity 4)
Ni: 0.000 0.500 0.000 (multiplicity 2)
Ni: 0.250 0.250 0.000 (multiplicity 4)

Output
E_tot: -251.82 eV/cell
Density: 9.44 g cm⁻³

The following is a SCAN calculation of CuNi5 at its PBEsol-relaxed geometry, from Alexandria.

abc: 2.456 2.456 10.429
angles: 90.00 90.00 90.00
Space group P4/mmm (No. 123)
One atom of each set of equivalent atoms:
Cu: 0.000 0.000 0.000 (multiplicity 1)
Ni: 0.000 0.000 0.335 (multiplicity 2)
Ni: 0.500 0.500 0.172 (multiplicity 2)
Ni: 0.500 0.500 0.500 (multiplicity 1)

Output
E_tot: -95.92 eV/cell
Density: 9.43 g cm⁻³
Energy above the lowest structure with this stoichiometry: 0.000 eV per atom

> Which of these has the lowest E_tot?

Cu3Ni5